The following is a PBE-GGA calculation of a relaxed Rb3BePd crystal, from Alexandria.

Results
Space group = Pm-3m, No. 221
Crystal system = cubic
E above lowest polymorph = 0.000 eV per atom
Raw total energy = -0.0618 hartree per atom
ΔE_f = 3.4 eV/f.u.

a b c (Å): 6.460 6.460 6.460
angles (deg): 90.00 90.00 90.00
Sites, in units of the cell vectors:
Rb  0.500  0.000  0.000
Be  0.500  0.500  0.500
Rb  0.000  0.500  0.000
Rb  0.000  0.000  0.500
Pd  0.000  0.000  0.000